1.
The following is a PBE calculation of a relaxed MnInPb2 crystal, from Alexandria.

Summary:
ΔE_f (kJ/mol of formula units): 107.7
Magnetization (μB/cell): 4.17
Space group: No. 160

Cell lengths 10.6732, 10.6732, 10.6732 Å; angles 18.27, 18.27, 18.27 degrees
With the nearest neighbours (Å) after each atom.
Atoms (fractional coordinates):
In 0.4880 0.4880 0.4880  3 Mn 2.91
Mn 0.7528 0.7528 0.7528  3 In 2.91, 3 Pb 3.02
Pb 0.0131 0.0131 0.0131  3 Mn 3.02
Pb 0.2462 0.2462 0.2462  9 Pb 3.39-3.71, 3 In 3.48


2.
The following is a PBE calculation of a relaxed Mn2In2Pb crystal, from Alexandria.

Summary:
ΔE_f (kJ/mol of formula units): 206.7
Magnetization (μB/cell): 0.00
Space group: No. 139

Cell lengths 3.2273, 3.2273, 10.3557 Å; angles 81.04, 81.04, 90.00 degrees
With the nearest neighbours (Å) after each atom.
Atoms (fractional coordinates):
Pb 0.0000 0.0000 0.0000  4 Pb 3.23, 8 In 3.56
Mn 0.7500 0.2500 0.5000  4 Mn 2.28
Mn 0.2500 0.7500 0.5000  4 Mn 2.28
In 0.3646 0.3646 0.2708  4 Mn 2.82
In 0.6354 0.6354 0.7292  4 Mn 2.82


3.
The following is a PBE calculation of a relaxed MnInPb2 crystal, from Alexandria.

Summary:
ΔE_f (kJ/mol of formula units): 125.7
Magnetization (μB/cell): 4.14
Space group: No. 119

Cell lengths 5.9432, 5.9432, 5.9432 Å; angles 134.98, 134.98, 65.57 degrees
With the nearest neighbours (Å) after each atom.
Atoms (fractional coordinates):
In 0.5000 0.5000 0.0000  8 Pb 3.22-3.38, 4 Mn 3.38
Mn 0.7500 0.2500 0.5000  8 Pb 3.22-3.38, 4 In 3.38
Pb 0.0000 0.0000 0.0000  4 In 3.22, 4 Mn 3.38, 4 Pb 3.38
Pb 0.2500 0.7500 0.5000  4 Mn 3.22, 4 In 3.38, 4 Pb 3.38


4.
The following is a PBE calculation of a relaxed MnInPb2 crystal, from Alexandria.

Summary:
ΔE_f (kJ/mol of formula units): 92.7
Magnetization (μB/cell): 3.87
Space group: No. 65

Cell lengths 3.3977, 3.3977, 9.0233 Å; angles 90.00, 90.00, 90.12 degrees
With the nearest neighbours (Å) after each atom.
Atoms (fractional coordinates):
In 0.5000 0.5000 0.2500  4 In 3.40, 8 Pb 3.56-3.57
Mn 0.5000 0.5000 0.7500  8 Pb 3.05, 4 Mn 3.40
Pb 0.0000 0.0000 0.9579  4 Mn 3.05, 4 Pb 3.40
Pb 0.0000 0.0000 0.5421  4 Mn 3.05, 4 Pb 3.40


5.
The following is a PBE calculation of a relaxed MnInPb2 crystal, from Alexandria.

Summary:
ΔE_f (kJ/mol of formula units): 87.2
Magnetization (μB/cell): 3.68
Space group: No. 99

Cell lengths 3.3619, 3.3619, 8.9172 Å; angles 90.00, 90.00, 90.00 degrees
With the nearest neighbours (Å) after each atom.
Atoms (fractional coordinates):
In 0.0000 0.0000 0.5484  4 Mn 2.89
Mn 0.5000 0.5000 0.7331  4 In 2.89, 4 Pb 3.07
Pb 0.0000 0.0000 0.9513  4 Mn 3.07, 4 Pb 3.36
Pb 0.5000 0.5000 0.2671  8 Pb 3.36-3.69, 4 In 3.46


6.
The following is a PBE calculation of a relaxed MnInPb2 crystal, from Alexandria.

Summary:
ΔE_f (kJ/mol of formula units): 104.6
Magnetization (μB/cell): 4.04
Space group: No. 8

Cell lengths 6.4682, 6.4682, 5.4861 Å; angles 65.05, 65.05, 29.97 degrees
With the nearest neighbours (Å) after each atom.
Atoms (fractional coordinates):
In 0.5337 0.5337 0.4676  2 Mn 2.89
Mn 0.2436 0.2436 0.2549  2 In 2.89, 6 Pb 3.02-3.22
Pb 0.9671 0.9671 0.0336  2 Mn 3.02, 4 In 3.30, 2 Pb 3.34
Pb 0.7556 0.7556 0.7438  4 Mn 3.21-3.22, 2 Pb 3.34, 2 In 3.55


7.
The following is a PBE calculation of a relaxed MnInPdPb2 crystal, from Alexandria.

Summary:
ΔE_f (kJ/mol of formula units): 216.6
Magnetization (μB/cell): 4.49
Space group: No. 123

Cell lengths 5.3731, 5.1394, 5.3731 Å; angles 90.00, 90.00, 90.00 degrees
With the nearest neighbours (Å) after each atom.
Atoms (fractional coordinates):
Pb 0.0000 0.0000 0.5000  2 Pd 2.69
Pb 0.5000 0.0000 0.0000  2 Pd 2.69
Mn 0.5000 0.5000 0.5000  8 Pb 3.72, 4 In 3.80
Pd 0.0000 0.0000 0.0000  2 In 2.57, 4 Pb 2.69
In 0.0000 0.5000 0.0000  2 Pd 2.57


8.
The following is a PBE calculation of a relaxed Rb2MnInPb crystal, from Alexandria.

Summary:
ΔE_f (kJ/mol of formula units): 286.4
Magnetization (μB/cell): 5.04
Space group: No. 123

Cell lengths 6.6303, 5.1852, 6.6303 Å; angles 90.00, 90.00, 90.00 degrees
With the nearest neighbours (Å) after each atom.
Atoms (fractional coordinates):
Pb 0.5000 0.5000 0.5000  8 Rb 4.21, 4 In 4.69
Mn 0.0000 0.0000 0.0000  2 In 2.59
Rb 0.0000 0.0000 0.5000  2 Mn 3.32
Rb 0.5000 0.0000 0.0000  2 Mn 3.32
In 0.0000 0.5000 0.0000  2 Mn 2.59


9.
The following is a PBE calculation of a relaxed MnInRe2Pb crystal, from Alexandria.

Summary:
ΔE_f (kJ/mol of formula units): 610.4
Magnetization (μB/cell): 0.00
Space group: No. 123

Cell lengths 4.5609, 4.5609, 4.8899 Å; angles 90.00, 90.00, 90.00 degrees
With the nearest neighbours (Å) after each atom.
Atoms (fractional coordinates):
Pb 0.5000 0.5000 0.5000  4 In 3.23, 8 Re 3.34
Re 0.0000 0.5000 0.0000  2 Mn 2.28
Re 0.5000 0.0000 0.0000  2 Mn 2.28
Mn 0.0000 0.0000 0.0000  4 Re 2.28, 2 In 2.44
In 0.0000 0.0000 0.5000  2 Mn 2.44


10.
The following is a PBE calculation of a relaxed MnIn2RhPb crystal, from Alexandria.

Summary:
ΔE_f (kJ/mol of formula units): 236.6
Magnetization (μB/cell): 2.00
Space group: No. 123

Cell lengths 5.0829, 4.5650, 5.0829 Å; angles 90.00, 90.00, 90.00 degrees
With the nearest neighbours (Å) after each atom.
Atoms (fractional coordinates):
Pb 0.5000 0.5000 0.5000  8 In 3.42, 4 Rh 3.59
Mn 0.0000 0.0000 0.0000  2 Rh 2.28, 4 In 2.54
Rh 0.0000 0.5000 0.0000  2 Mn 2.28
In 0.0000 0.0000 0.5000  2 Mn 2.54
In 0.5000 0.0000 0.0000  2 Mn 2.54


What is the formula in the fifth record? MnInPb2


magnetization of number 2 (Mn2In2Pb)? 0.00 μB/cell